Run one
The following is a GGA-PBE calculation of a relaxed structure of TlReOs2, from the Alexandria database.

The density of states at the Fermi level comes out at 0.589 states/eV per atom.

The space group is R-3m (No. 166, hexagonal axes) and the conventional cell measures 2.8540, 2.8540 and 28.1022 Å, with angles of 90.00, 90.00 and 120.00 degrees. The distinct sites, in fractional coordinates, are Tl at (0.0000, 0.0000, 0.0000), Re at (0.0000, 0.0000, 0.5000) and Os at (0.0000, 0.0000, 0.2418).



Run two
The following is a GGA-PBE calculation of a relaxed structure of TlReOs2, from the Alexandria database.

The density of states at the Fermi level comes out at 1.339 states/eV per atom.

The space group is Pmm2 (No. 25) and the conventional cell measures 2.810, 3.863 and 6.190 Å, with angles of 90.00, 90.00 and 90.00 degrees. The distinct sites, in fractional coordinates, are Tl at (0.000, 0.000, 0.000), Re at (0.500, 0.500, 0.698), Os at (0.000, 0.000, 0.501) and Os at (0.500, 0.500, 0.282).



Run three
The following is a GGA-PBE calculation of a relaxed structure of TlReOs2, from the Alexandria database.

The density of states at the Fermi level comes out at 1.140 states/eV per atom.

The space group is F-43m (No. 216) and the conventional cell measures 6.401, 6.401 and 6.401 Å, with angles of 90.00, 90.00 and 90.00 degrees. The distinct sites, in fractional coordinates, are Tl at (0.000, 0.000, 0.000), Re at (0.250, 0.250, 0.250), Os at (0.000, 0.000, 0.500) and Os at (0.250, 0.250, 0.750).



Run four
The following is a GGA-PBE calculation of a relaxed structure of TlReOs2, from the Alexandria database.

The density of states at the Fermi level comes out at 1.217 states/eV per atom.

The space group is Fm-3m (No. 225) and the conventional cell measures 6.394, 6.394 and 6.394 Å, with angles of 90.00, 90.00 and 90.00 degrees. The distinct sites, in fractional coordinates, are Tl at (0.000, 0.000, 0.000), Re at (0.000, 0.000, 0.500) and Os at (0.250, 0.250, 0.250).



Most favorable first, least favorable last: run one, run two, run four, run three



Run one
The following is a GGA-PBE calculation of a relaxed structure of TlReOs3, from the Alexandria database.

The density of states at the Fermi level comes out at 2.446 states/eV per atom.

The space group is Pm-3m (No. 221) and the conventional cell measures 4.771, 4.771 and 4.771 Å, with angles of 90.00, 90.00 and 90.00 degrees. The distinct sites, in fractional coordinates, are Tl at (0.000, 0.000, 0.000), Re at (0.500, 0.500, 0.500) and Os at (0.000, 0.000, 0.500).



Run two
The following is a GGA-PBE calculation of a relaxed structure of TlReOs3, from the Alexandria database.

The density of states at the Fermi level comes out at 1.635 states/eV per atom.

The space group is Pm-3m (No. 221) and the conventional cell measures 4.761, 4.761 and 4.761 Å, with angles of 90.00, 90.00 and 90.00 degrees. The distinct sites, in fractional coordinates, are Tl at (0.000, 0.000, 0.000), Re at (0.500, 0.500, 0.500) and Os at (0.000, 0.500, 0.500).



Most favorable first, least favorable last: run two, run one



Run one
The following is a GGA-PBE calculation of a relaxed structure of UReOs, from the Alexandria database.

The density of states at the Fermi level comes out at 1.383 states/eV per atom.

The space group is P3m1 (No. 156) and the conventional cell measures 2.8093, 2.8093 and 7.4537 Å, with angles of 90.00, 90.00 and 120.00 degrees. The distinct sites, in fractional coordinates, are U at (0.0000, 0.0000, 0.0000), Re at (0.6667, 0.3333, 0.3645) and Os at (0.3333, 0.6667, 0.6445).



Run two
The following is a GGA-PBE calculation of a relaxed structure of UReOs, from the Alexandria database.

The density of states at the Fermi level comes out at 1.305 states/eV per atom.

The space group is P-1 (No. 2) and the conventional cell measures 2.896, 5.482 and 6.816 Å, with angles of 103.83, 90.79 and 99.81 degrees. The distinct sites, in fractional coordinates, are U at (0.004, 0.471, 0.194), Re at (0.331, 0.194, 0.465) and Os at (0.277, 0.058, 0.849).



Run three
The following is a GGA-PBE calculation of a relaxed structure of UReOs, from the Alexandria database.

The density of states at the Fermi level comes out at 0.865 states/eV per atom.

The space group is Pmma (No. 51) and the conventional cell measures 5.557, 4.344 and 4.841 Å, with angles of 90.00, 90.00 and 90.00 degrees. The distinct sites, in fractional coordinates, are U at (0.250, 0.000, 0.228), Re at (0.250, 0.500, 0.516) and Os at (0.000, 0.500, 0.000).



Run four
The following is a GGA-PBE calculation of a relaxed structure of UReOs, from the Alexandria database.

The density of states at the Fermi level comes out at 1.429 states/eV per atom.

The space group is I4mm (No. 107) and the conventional cell measures 2.892, 2.892 and 12.457 Å, with angles of 90.00, 90.00 and 90.00 degrees. The distinct sites, in fractional coordinates, are U at (0.000, 0.000, 0.000), Re at (0.000, 0.000, 0.685) and Os at (0.000, 0.000, 0.317).



Most favorable first, least favorable last: run four, run two, run three, run one



Run one
The following is a GGA-PBE calculation of a relaxed structure of VRe2Os, from the Alexandria database.

The density of states at the Fermi level comes out at 1.152 states/eV per atom.

The space group is R-3m (No. 166, hexagonal axes) and the conventional cell measures 2.7350, 2.7350 and 28.2019 Å, with angles of 90.00, 90.00 and 120.00 degrees. The distinct sites, in fractional coordinates, are V at (0.0000, 0.0000, 0.0000), Re at (0.0000, 0.0000, 0.0881) and Os at (0.0000, 0.0000, 0.5000).



Run two
The following is a GGA-PBE calculation of a relaxed structure of VRe2Os, from the Alexandria database.

The density of states at the Fermi level comes out at 1.434 states/eV per atom.

The space group is I-42d (No. 122) and the conventional cell measures 3.652, 3.652 and 19.143 Å, with angles of 90.00, 90.00 and 90.00 degrees. The distinct sites, in fractional coordinates, are V at (0.000, 0.000, 0.000), Re at (0.226, 0.250, 0.125) and Os at (0.000, 0.000, 0.500).



Most favorable first, least favorable last: run one, run two



Run one
The following is a GGA-PBE calculation of a relaxed structure of VRe2Os, from the Alexandria database.

The density of states at the Fermi level comes out at 0.838 states/eV per atom.

The space group is P4/mmm (No. 123) and the conventional cell measures 3.863, 3.863 and 3.892 Å, with angles of 90.00, 90.00 and 90.00 degrees. The distinct sites, in fractional coordinates, are V at (0.000, 0.000, 0.000), Re at (0.000, 0.500, 0.500) and Os at (0.500, 0.500, 0.000).



Run two
The following is a GGA-PBE calculation of a relaxed structure of VRe2Os, from the Alexandria database.

The density of states at the Fermi level comes out at 1.138 states/eV per atom.

The space group is Fm-3m (No. 225) and the conventional cell measures 6.149, 6.149 and 6.149 Å, with angles of 90.00, 90.00 and 90.00 degrees. The distinct sites, in fractional coordinates, are V at (0.000, 0.000, 0.000), Re at (0.250, 0.250, 0.250) and Os at (0.000, 0.000, 0.500).



Most favorable first, least favorable last: run one, run two



Run one
The following is a GGA-PBE calculation of a relaxed structure of V4Re2Os, from the Alexandria database.

The density of states at the Fermi level comes out at 1.413 states/eV per atom.

The space group is I4/mmm (No. 139) and the conventional cell measures 4.514, 4.514 and 12.357 Å, with angles of 90.00, 90.00 and 90.00 degrees. The distinct sites, in fractional coordinates, are V at (0.000, 0.000, 0.197), V at (0.000, 0.500, 0.000), Re at (0.000, 0.000, 0.386) and Os at (0.000, 0.000, 0.000).



Run two
The following is a GGA-PBE calculation of a relaxed structure of V4Re2Os, from the Alexandria database.

The density of states at the Fermi level comes out at 0.603 states/eV per atom.

The space group is I4/mmm (No. 139) and the conventional cell measures 5.974, 5.974 and 6.018 Å, with angles of 90.00, 90.00 and 90.00 degrees. The distinct sites, in fractional coordinates, are V at (0.250, 0.250, 0.250), Re at (0.000, 0.500, 0.000) and Os at (0.000, 0.000, 0.000).



Most favorable first, least favorable last: run two, run one



Run one
The following is a GGA-PBE calculation of a relaxed structure of VReOs2, from the Alexandria database.

The density of states at the Fermi level comes out at 1.003 states/eV per atom.

The space group is I-42d (No. 122) and the conventional cell measures 3.842, 3.842 and 17.252 Å, with angles of 90.00, 90.00 and 90.00 degrees. The distinct sites, in fractional coordinates, are V at (0.000, 0.000, 0.000), Re at (0.000, 0.000, 0.500) and Os at (0.227, 0.250, 0.125).



Run two
The following is a GGA-PBE calculation of a relaxed structure of VReOs2, from the Alexandria database.

The density of states at the Fermi level comes out at 1.629 states/eV per atom.

The space group is Fm-3m (No. 225) and the conventional cell measures 6.140, 6.140 and 6.140 Å, with angles of 90.00, 90.00 and 90.00 degrees. The distinct sites, in fractional coordinates, are V at (0.000, 0.000, 0.000), Re at (0.000, 0.000, 0.500) and Os at (0.250, 0.250, 0.250).



Most favorable first, least favorable last: run two, run one



Run one
The following is a GGA-PBE calculation of a relaxed structure of V4ReOs, from the Alexandria database.

The density of states at the Fermi level comes out at 1.021 states/eV per atom.

The space group is P4/mmm (No. 123) and the conventional cell measures 4.122, 4.122 and 5.879 Å, with angles of 90.00, 90.00 and 90.00 degrees. The distinct sites, in fractional coordinates, are V at (0.000, 0.500, 0.250), Re at (0.000, 0.000, 0.000) and Os at (0.500, 0.500, 0.500).



Run two
The following is a GGA-PBE calculation of a relaxed structure of V4ReOs, from the Alexandria database.

The density of states at the Fermi level comes out at 1.908 states/eV per atom.

The space group is F-43m (No. 216) and the conventional cell measures 6.882, 6.882 and 6.882 Å, with angles of 90.00, 90.00 and 90.00 degrees. The distinct sites, in fractional coordinates, are V at (0.125, 0.125, 0.125), Re at (0.250, 0.250, 0.750) and Os at (0.000, 0.000, 0.500).



Run three
The following is a GGA-PBE calculation of a relaxed structure of V4ReOs, from the Alexandria database.

The density of states at the Fermi level comes out at 0.549 states/eV per atom.

The space group is P4/mmm (No. 123) and the conventional cell measures 3.008, 3.008 and 9.083 Å, with angles of 90.00, 90.00 and 90.00 degrees. The distinct sites, in fractional coordinates, are V at (0.000, 0.000, 0.168), V at (0.500, 0.500, 0.332), Re at (0.000, 0.000, 0.500) and Os at (0.500, 0.500, 0.000).



Most favorable first, least favorable last: run three, run two, run one



Run one
The following is a GGA-PBE calculation of a relaxed structure of Re2OsW, from the Alexandria database.

The density of states at the Fermi level comes out at 1.125 states/eV per atom.

The space group is P4mm (No. 99) and the conventional cell measures 2.777, 2.777 and 7.862 Å, with angles of 90.00, 90.00 and 90.00 degrees. The distinct sites, in fractional coordinates, are Re at (0.000, 0.000, 0.000), Re at (0.500, 0.500, 0.246), Os at (0.500, 0.500, 0.758) and W at (0.000, 0.000, 0.506).



Run two
The following is a GGA-PBE calculation of a relaxed structure of Re2OsW, from the Alexandria database.

The density of states at the Fermi level comes out at 1.315 states/eV per atom.

The space group is P4/mmm (No. 123) and the conventional cell measures 4.485, 4.485 and 3.036 Å, with angles of 90.00, 90.00 and 90.00 degrees. The distinct sites, in fractional coordinates, are Re at (0.000, 0.500, 0.000), Os at (0.000, 0.000, 0.500) and W at (0.500, 0.500, 0.500).



Run three
The following is a GGA-PBE calculation of a relaxed structure of Re2OsW, from the Alexandria database.

The density of states at the Fermi level comes out at 0.796 states/eV per atom.

The space group is P4/mmm (No. 123) and the conventional cell measures 3.917, 3.917 and 3.943 Å, with angles of 90.00, 90.00 and 90.00 degrees. The distinct sites, in fractional coordinates, are Re at (0.000, 0.500, 0.000), Os at (0.000, 0.000, 0.500) and W at (0.500, 0.500, 0.500).



Most favorable first, least favorable last: run three, run one, run two



Run one
The following is a GGA-PBE calculation of a relaxed structure of ReOsW, from the Alexandria database.

The density of states at the Fermi level comes out at 0.544 states/eV per atom.

The space group is I4mm (No. 107) and the conventional cell measures 2.765, 2.765 and 12.045 Å, with angles of 90.00, 90.00 and 90.00 degrees. The distinct sites, in fractional coordinates, are Re at (0.000, 0.000, 0.000), Os at (0.000, 0.000, 0.350) and W at (0.000, 0.000, 0.679).



Run two
The following is a GGA-PBE calculation of a relaxed structure of ReOsW, from the Alexandria database.

The density of states at the Fermi level comes out at 0.921 states/eV per atom.

The space group is Imm2 (No. 44) and the conventional cell measures 2.769, 3.922 and 8.406 Å, with angles of 90.00, 90.00 and 90.00 degrees. The distinct sites, in fractional coordinates, are Re at (0.000, 0.000, 0.000), Os at (0.000, 0.000, 0.660) and W at (0.000, 0.000, 0.328).



Most favorable first, least favorable last: run one, run two



Run one
The following is a GGA-PBE calculation of a relaxed structure of ReOsW, from the Alexandria database.

The density of states at the Fermi level comes out at 0.930 states/eV per atom.

The space group is I4mm (No. 107) and the conventional cell measures 3.228, 3.228 and 8.879 Å, with angles of 90.00, 90.00 and 90.00 degrees. The distinct sites, in fractional coordinates, are Re at (0.000, 0.000, 0.000), Os at (0.000, 0.000, 0.321) and W at (0.000, 0.000, 0.656).



Run two
The following is a GGA-PBE calculation of a relaxed structure of ReOsW, from the Alexandria database.

The density of states at the Fermi level comes out at 0.787 states/eV per atom.

The space group is Pmma (No. 51) and the conventional cell measures 5.408, 4.366 and 4.601 Å, with angles of 90.00, 90.00 and 90.00 degrees. The distinct sites, in fractional coordinates, are Re at (0.250, 0.000, 0.122), Os at (0.000, 0.500, 0.000) and W at (0.250, 0.500, 0.496).



Most favorable first, least favorable last: run one, run two